No. 1
# AcH6RuAu PBE-GGA relaxed
# ρ (g cm⁻³): 9.20
# V (A^3/atom): 10.6
# VASP energy (eV for the cell shown): -38.805
# Magnetic moment (μB/atom): 0.00
data_AcH6RuAu
_space_group_name_H-M_alt 'P -6 m 2'
_space_group_IT_number 187
_space_group_name_Hall 'P -6 2'
_cell_length_a 4.9712
_cell_length_b 4.9712
_cell_length_c 4.4772
_cell_angle_alpha 90.00
_cell_angle_beta 90.00
_cell_angle_gamma 120.00
loop_
_atom_site_label
_atom_site_type_symbol
_atom_site_fract_x
_atom_site_fract_y
_atom_site_fract_z
_atom_site_occupancy
Ac1 Ac 0.0000 0.0000 0.0000 1
H1 H 0.0423 0.5211 0.2383 1
Ru1 Ru 0.3333 0.6667 0.5000 1
Au1 Au 0.6667 0.3333 0.5000 1

***

No. 2
# Ac2H6RuAu PBE-GGA relaxed
# ρ (g cm⁻³): 9.87
# V (A^3/atom): 12.8
# VASP energy (eV for the cell shown): -90.372
# Magnetic moment (μB/atom): 0.00
data_Ac2H6RuAu
_space_group_name_H-M_alt 'C 1 2/m 1'
_space_group_IT_number 12
_cell_length_a 7.940
_cell_length_b 8.018
_cell_length_c 5.555
_cell_angle_alpha 90.00
_cell_angle_beta 133.82
_cell_angle_gamma 90.00
loop_
_space_group_symop_operation_xyz
'x,y,z'
'-x,-y,-z'
'-x,y,-z'
'x,-y,z'
'x+1/2,y+1/2,z'
'-x+1/2,-y+1/2,-z'
'-x+1/2,y+1/2,-z'
'x+1/2,-y+1/2,z'
loop_
_atom_site_label
_atom_site_type_symbol
_atom_site_fract_x
_atom_site_fract_y
_atom_site_fract_z
_atom_site_occupancy
Ac1 Ac 0.000 0.250 0.000 1
H1 H 0.000 0.217 0.500 1
H2 H 0.214 0.000 0.934 1
H3 H 0.216 0.000 0.494 1
Ru1 Ru 0.000 0.000 0.500 1
Au1 Au 0.000 0.500 0.500 1

***

No. 3
# AcSbHAu PBE-GGA relaxed
# ρ (g cm⁻³): 10.08
# V (A^3/atom): 22.5
# Energy relative to the lowest polymorph listed for this composition (eV per atom): 0.000
# VASP energy (eV for the cell shown): -17.810
# Magnetic moment (μB/atom): 0.00
data_AcSbHAu
_space_group_name_H-M_alt 'P 3 m 1'
_space_group_IT_number 156
_cell_length_a 4.6624
_cell_length_b 4.6624
_cell_length_c 4.7852
_cell_angle_alpha 90.00
_cell_angle_beta 90.00
_cell_angle_gamma 120.00
loop_
_space_group_symop_operation_xyz
'x,y,z'
'-y,x-y,z'
'-x+y,-x,z'
'-y,-x,z'
'-x+y,y,z'
'x,x-y,z'
loop_
_atom_site_label
_atom_site_type_symbol
_atom_site_fract_x
_atom_site_fract_y
_atom_site_fract_z
_atom_site_occupancy
Ac1 Ac 0.0000 0.0000 0.0000 1
Sb1 Sb 0.6667 0.3333 0.5565 1
H1 H 0.3333 0.6667 0.0326 1
Au1 Au 0.3333 0.6667 0.4108 1

***

No. 4
# AcSbHAu PBE-GGA relaxed
# ρ (g cm⁻³): 10.04
# V (A^3/atom): 22.6
# Energy relative to the lowest polymorph listed for this composition (eV per atom): 0.258
# VASP energy (eV for the cell shown): -67.110
# Magnetic moment (μB/atom): 0.00
data_AcSbHAu
_space_group_name_H-M_alt 'F -4 3 m'
_space_group_IT_number 216
_space_group_name_Hall 'F -4 2 3'
_cell_length_a 7.124
_cell_length_b 7.124
_cell_length_c 7.124
_cell_angle_alpha 90.00
_cell_angle_beta 90.00
_cell_angle_gamma 90.00
loop_
_atom_site_label
_atom_site_type_symbol
_atom_site_fract_x
_atom_site_fract_y
_atom_site_fract_z
_atom_site_occupancy
Ac1 Ac 0.000 0.000 0.000 1
Sb1 Sb 0.000 0.000 0.500 1
H1 H 0.250 0.250 0.750 1
Au1 Au 0.250 0.250 0.250 1